[1]
# Pr3CoSn, optimized geometry, DFT PBE
data_Pr3CoSn
_space_group_name_H-M_alt 'C 1 2/m 1'
_space_group_IT_number 12
_cell_length_a 17.110
_cell_length_b 3.767
_cell_length_c 8.989
_cell_angle_alpha 90.00
_cell_angle_beta 91.36
_cell_angle_gamma 90.00
loop_
_space_group_symop_operation_xyz
'x,y,z'
'-x,-y,-z'
'-x,y,-z'
'x,-y,z'
'x+1/2,y+1/2,z'
'-x+1/2,-y+1/2,-z'
'-x+1/2,y+1/2,-z'
'x+1/2,-y+1/2,z'
loop_
_atom_site_label
_atom_site_type_symbol
_atom_site_fract_x
_atom_site_fract_y
_atom_site_fract_z
_atom_site_occupancy
Pr1 Pr 0.041 0.000 0.202 1
Pr2 Pr 0.107 0.500 0.546 1
Pr3 Pr 0.242 0.500 0.211 1
Co1 Co 0.216 0.000 0.455 1
Sn1 Sn 0.113 0.500 0.924 1
# - Energy of formation from the pure elements: -0.305 eV/atom
# - E_tot: -5.394 eV/atom
# - Polymorph energy (0 for the lowest one): 0.000 eV per formula unit
# - D(E_F): 23.8 states/eV/cell


[2]
# ZrCdAs, optimized geometry, DFT PBE
data_ZrCdAs
_space_group_name_H-M_alt 'P 3 m 1'
_space_group_IT_number 156
_cell_length_a 3.8548
_cell_length_b 3.8548
_cell_length_c 5.5463
_cell_angle_alpha 90.00
_cell_angle_beta 90.00
_cell_angle_gamma 120.00
loop_
_space_group_symop_operation_xyz
'x,y,z'
'-y,x-y,z'
'-x+y,-x,z'
'-y,-x,z'
'-x+y,y,z'
'x,x-y,z'
loop_
_atom_site_label
_atom_site_type_symbol
_atom_site_fract_x
_atom_site_fract_y
_atom_site_fract_z
_atom_site_occupancy
Zr1 Zr 0.0000 0.0000 0.0000 1
Cd1 Cd 0.6667 0.3333 0.5932 1
As1 As 0.3333 0.6667 0.2584 1
# - Energy of formation from the pure elements: -0.200 eV/atom
# - E_tot: -4.905 eV/atom
# - Polymorph energy (0 for the lowest one): 1.238 eV per formula unit
# - D(E_F): 2.9 states/eV/cell


[3]
# MgCd6In3, optimized geometry, DFT PBE
data_MgCd6In3
_space_group_name_H-M_alt 'F m m m'
_space_group_IT_number 69
_space_group_name_Hall '-F 2 2'
_cell_length_a 9.984
_cell_length_b 11.175
_cell_length_c 11.388
_cell_angle_alpha 90.00
_cell_angle_beta 90.00
_cell_angle_gamma 90.00
loop_
_atom_site_label
_atom_site_type_symbol
_atom_site_fract_x
_atom_site_fract_y
_atom_site_fract_z
_atom_site_occupancy
Mg1 Mg 0.000 0.000 0.000 1
Cd1 Cd 0.000 0.247 0.000 1
Cd2 Cd 0.247 0.000 0.128 1
In1 In 0.000 0.000 0.500 1
In2 In 0.250 0.250 0.250 1
# - Energy of formation from the pure elements: 0.263 eV/atom
# - E_tot: -1.267 eV/atom
# - Polymorph energy (0 for the lowest one): 2.548 eV per formula unit
# - D(E_F): 17.0 states/eV/cell


[4]
# Tb5NdTl, optimized geometry, DFT PBE
data_Tb5NdTl
_space_group_name_H-M_alt 'I m m 2'
_space_group_IT_number 44
_cell_length_a 6.336
_cell_length_b 6.549
_cell_length_c 10.925
_cell_angle_alpha 90.00
_cell_angle_beta 90.00
_cell_angle_gamma 90.00
loop_
_space_group_symop_operation_xyz
'x,y,z'
'-x,-y,z'
'-x,y,z'
'x,-y,z'
'x+1/2,y+1/2,z+1/2'
'-x+1/2,-y+1/2,z+1/2'
'-x+1/2,y+1/2,z+1/2'
'x+1/2,-y+1/2,z+1/2'
loop_
_atom_site_label
_atom_site_type_symbol
_atom_site_fract_x
_atom_site_fract_y
_atom_site_fract_z
_atom_site_occupancy
Tb1 Tb 0.000 0.000 0.000 1
Tb2 Tb 0.000 0.268 0.253 1
Tb3 Tb 0.242 0.500 0.973 1
Nd1 Nd 0.000 0.500 0.623 1
Tl1 Tl 0.000 0.000 0.724 1
# - Energy of formation from the pure elements: 0.110 eV/atom
# - E_tot: -4.217 eV/atom
# - D(E_F): 19.0 states/eV/cell


[5]
# Nd4YHo6, optimized geometry, DFT PBE
data_Nd4YHo6
_space_group_name_H-M_alt 'P -6 m 2'
_space_group_IT_number 187
_space_group_name_Hall 'P -6 2'
_cell_length_a 11.0377
_cell_length_b 11.0377
_cell_length_c 3.5677
_cell_angle_alpha 90.00
_cell_angle_beta 90.00
_cell_angle_gamma 120.00
loop_
_atom_site_label
_atom_site_type_symbol
_atom_site_fract_x
_atom_site_fract_y
_atom_site_fract_z
_atom_site_occupancy
Nd1 Nd 0.0000 0.0000 0.0000 1
Nd2 Nd 0.0032 0.5016 0.5000 1
Y1 Y 0.6667 0.3333 0.0000 1
Ho1 Ho 0.1738 0.3477 0.0000 1
Ho2 Ho 0.3089 0.1544 0.5000 1
# - Energy of formation from the pure elements: 0.164 eV/atom
# - E_tot: -4.655 eV/atom
# - Polymorph energy (0 for the lowest one): 0.000 eV per formula unit
# - D(E_F): 17.0 states/eV/cell


[6]
# Ba4Zn2Ga3, optimized geometry, DFT PBE
data_Ba4Zn2Ga3
_space_group_name_H-M_alt 'C 1 2/m 1'
_space_group_IT_number 12
_cell_length_a 17.571
_cell_length_b 4.346
_cell_length_c 7.901
_cell_angle_alpha 90.00
_cell_angle_beta 105.81
_cell_angle_gamma 90.00
loop_
_space_group_symop_operation_xyz
'x,y,z'
'-x,-y,-z'
'-x,y,-z'
'x,-y,z'
'x+1/2,y+1/2,z'
'-x+1/2,-y+1/2,-z'
'-x+1/2,y+1/2,-z'
'x+1/2,-y+1/2,z'
loop_
_atom_site_label
_atom_site_type_symbol
_atom_site_fract_x
_atom_site_fract_y
_atom_site_fract_z
_atom_site_occupancy
Ba1 Ba 0.074 0.000 0.382 1
Ba2 Ba 0.245 0.500 0.206 1
Zn1 Zn 0.093 0.000 0.963 1
Ga1 Ga 0.000 0.500 0.000 1
Ga2 Ga 0.090 0.500 0.765 1
# - Energy of formation from the pure elements: -0.266 eV/atom
# - E_tot: -2.413 eV/atom
# - D(E_F): 13.7 states/eV/cell


[7]
# InGaTe4, optimized geometry, DFT PBE
data_InGaTe4
_space_group_name_H-M_alt 'P 1 21/c 1'
_space_group_IT_number 14
_cell_length_a 7.460
_cell_length_b 4.297
_cell_length_c 13.138
_cell_angle_alpha 90.00
_cell_angle_beta 123.49
_cell_angle_gamma 90.00
loop_
_space_group_symop_operation_xyz
'x,y,z'
'-x,-y,-z'
'-x,y+1/2,-z+1/2'
'x,-y+1/2,z+1/2'
loop_
_atom_site_label
_atom_site_type_symbol
_atom_site_fract_x
_atom_site_fract_y
_atom_site_fract_z
_atom_site_occupancy
In1 In 0.000 0.000 0.000 1
Ga1 Ga 0.500 0.000 0.500 1
Te1 Te 0.196 0.001 0.852 1
Te2 Te 0.322 0.001 0.647 1
# - Formation energy without anion corrections: -0.11 eV per atom
# - E_tot: -3.164 eV/atom
# - D(E_F): 6.4 states/eV/cell


[8]
# K2Pu2Pt15, optimized geometry, DFT PBE
data_K2Pu2Pt15
_space_group_name_H-M_alt 'R -3 m'
_space_group_IT_number 166
_space_group_name_Hall '-R 3 2"'
_cell_length_a 9.5292
_cell_length_b 9.5292
_cell_length_c 13.6204
_cell_angle_alpha 90.00
_cell_angle_beta 90.00
_cell_angle_gamma 120.00
loop_
_atom_site_label
_atom_site_type_symbol
_atom_site_fract_x
_atom_site_fract_y
_atom_site_fract_z
_atom_site_occupancy
K1 K 0.0000 0.0000 0.1427 1
Pu1 Pu 0.0000 0.0000 0.3964 1
Pt1 Pt 0.0000 0.3054 0.5000 1
Pt2 Pt 0.0000 0.5000 0.0000 1
Pt3 Pt 0.9997 0.4999 0.3436 1
# - Energy of formation from the pure elements: -0.294 eV/atom
# - E_tot: -6.687 eV/atom
# - D(E_F): 114.1 states/eV/cell


[9]
# TiNb2GeF, optimized geometry, DFT PBE
data_TiNb2GeF
_space_group_name_H-M_alt 'P 4/m m m'
_space_group_IT_number 123
_space_group_name_Hall '-P 4 2'
_cell_length_a 4.861
_cell_length_b 4.861
_cell_length_c 4.737
_cell_angle_alpha 90.00
_cell_angle_beta 90.00
_cell_angle_gamma 90.00
loop_
_atom_site_label
_atom_site_type_symbol
_atom_site_fract_x
_atom_site_fract_y
_atom_site_fract_z
_atom_site_occupancy
Ti1 Ti 0.000 0.000 0.000 1
Nb1 Nb 0.000 0.500 0.500 1
Ge1 Ge 0.000 0.000 0.500 1
F1 F 0.500 0.500 0.000 1
# - Formation energy without anion corrections: 0.89 eV per atom
# - E_tot: -6.010 eV/atom
# - D(E_F): 8.0 states/eV/cell


[10]
# CaHo8Er4, optimized geometry, DFT PBE
data_CaHo8Er4
_space_group_name_H-M_alt 'C 1 2/m 1'
_space_group_IT_number 12
_cell_length_a 11.196
_cell_length_b 5.002
_cell_length_c 14.599
_cell_angle_alpha 90.00
_cell_angle_beta 94.33
_cell_angle_gamma 90.00
loop_
_space_group_symop_operation_xyz
'x,y,z'
'-x,-y,-z'
'-x,y,-z'
'x,-y,z'
'x+1/2,y+1/2,z'
'-x+1/2,-y+1/2,-z'
'-x+1/2,y+1/2,-z'
'x+1/2,-y+1/2,z'
loop_
_atom_site_label
_atom_site_type_symbol
_atom_site_fract_x
_atom_site_fract_y
_atom_site_fract_z
_atom_site_occupancy
Ca1 Ca 0.000 0.000 0.000 1
Ho1 Ho 0.038 0.500 0.386 1
Ho2 Ho 0.076 0.000 0.764 1
Ho3 Ho 0.193 0.500 0.918 1
Ho4 Ho 0.233 0.000 0.309 1
Er1 Er 0.121 0.500 0.160 1
Er2 Er 0.154 0.000 0.538 1
# - Energy of formation from the pure elements: 0.054 eV/atom
# - E_tot: -4.321 eV/atom
# - D(E_F): 39.2 states/eV/cell


[11]
# SrTiI3, optimized geometry, DFT PBE
data_SrTiI3
_space_group_name_H-M_alt 'P m -3 m'
_space_group_IT_number 221
_space_group_name_Hall '-P 4 2 3'
_cell_length_a 6.341
_cell_length_b 6.341
_cell_length_c 6.341
_cell_angle_alpha 90.00
_cell_angle_beta 90.00
_cell_angle_gamma 90.00
loop_
_atom_site_label
_atom_site_type_symbol
_atom_site_fract_x
_atom_site_fract_y
_atom_site_fract_z
_atom_site_occupancy
Sr1 Sr 0.000 0.000 0.000 1
Ti1 Ti 0.500 0.500 0.500 1
I1 I 0.000 0.000 0.500 1
# - Formation energy without anion corrections: -0.30 eV per atom
# - E_tot: -3.148 eV/atom
# - Polymorph energy (0 for the lowest one): 1.850 eV per formula unit
# - D(E_F): 5.4 states/eV/cell


[12]
# KAgRu2, optimized geometry, DFT PBE
data_KAgRu2
_space_group_name_H-M_alt 'P m m m'
_space_group_IT_number 47
_cell_length_a 2.663
_cell_length_b 4.693
_cell_length_c 7.002
_cell_angle_alpha 90.00
_cell_angle_beta 90.00
_cell_angle_gamma 90.00
loop_
_space_group_symop_operation_xyz
'x,y,z'
'-x,-y,-z'
'-x,-y,z'
'x,y,-z'
'x,-y,-z'
'-x,y,z'
'-x,y,-z'
'x,-y,z'
loop_
_atom_site_label
_atom_site_type_symbol
_atom_site_fract_x
_atom_site_fract_y
_atom_site_fract_z
_atom_site_occupancy
K1 K 0.000 0.000 0.000 1
Ag1 Ag 0.000 0.000 0.500 1
Ru1 Ru 0.500 0.500 0.335 1
# - Energy of formation from the pure elements: 0.935 eV/atom
# - E_tot: -4.690 eV/atom
# - Polymorph energy (0 for the lowest one): 1.573 eV per formula unit
# - D(E_F): 4.4 states/eV/cell


- D(E_F) of number 11 (SrTiI3)?
  5.4 states/eV/cell


- Among the records above, which one has the lowest D(E_F)?
  ZrCdAs